Compound: Ti5GaPd4
Source: Alexandria via LeMat-Bulk
Functional: PBE
Structure: optimized geometry

Cell lengths 9.5493, 10.5920, 3.3190 Å; angles 90.00, 90.00, 90.00 degrees
Closest atoms and distances in Å follow each position.
Atoms (fractional coordinates):
Ti1 0.0803 0.0927 0.1950  4 Pd 2.61-2.68, 2 Ti 2.78-2.81
Ti2 0.0803 0.4073 0.1950  4 Pd 2.61-2.68, 2 Ti 2.78-2.81
Ti3 0.2500 0.2500 0.6566  8 Ti 2.78-2.93, 4 Pd 2.87-2.92
Ti4 0.4197 0.0927 0.1950  4 Pd 2.61-2.68, 2 Ti 2.78-2.81
Ti5 0.4197 0.4073 0.1950  4 Pd 2.61-2.68, 2 Ti 2.78-2.81
Ti6 0.5803 0.5927 0.8050  4 Pd 2.61-2.68, 2 Ti 2.78-2.81
Ti7 0.5803 0.9073 0.8050  4 Pd 2.61-2.68, 2 Ti 2.78-2.81
Ti8 0.7500 0.7500 0.3434  8 Ti 2.78-2.93, 4 Pd 2.87-2.92
Ti9 0.9197 0.5927 0.8050  4 Pd 2.61-2.68, 2 Ti 2.78-2.81
Ti10 0.9197 0.9073 0.8050  4 Pd 2.61-2.68, 2 Ti 2.78-2.81
Ga1 0.2500 0.7500 0.8355  6 Pd 2.43-2.58
Ga2 0.7500 0.2500 0.1645  6 Pd 2.43-2.58
Pd1 0.0499 0.7500 0.3140  2 Ga 2.48-2.58, 4 Ti 2.64-2.68
Pd2 0.2500 0.5256 0.6833  1 Ga 2.43, 4 Ti 2.61-2.66
Pd3 0.2500 0.9744 0.6833  1 Ga 2.43, 4 Ti 2.61-2.66
Pd4 0.4501 0.7500 0.3140  2 Ga 2.48-2.58, 4 Ti 2.64-2.68
Pd5 0.5499 0.2500 0.6860  2 Ga 2.48-2.58, 4 Ti 2.64-2.68
Pd6 0.7500 0.0256 0.3167  1 Ga 2.43, 4 Ti 2.61-2.66
Pd7 0.7500 0.4744 0.3167  1 Ga 2.43, 4 Ti 2.61-2.66
Pd8 0.9501 0.2500 0.6860  2 Ga 2.48-2.58, 4 Ti 2.64-2.68

Space-group type ... Pmmn (59)
Total DFT energy (no corrections) ... -6.664 eV per atom
Formation enthalpy at 0 K ... -0.336 eV per atom